DFT (GGA-PBE) results for a geometry-optimized LiZrAs2 structure.

Cell lengths 7.312, 5.048, 2.979 Å; angles 83.09, 76.04, 130.77 degrees
Fractional positions:
Li 0.000 0.500 0.500
As 0.500 0.000 0.500
As 0.000 0.000 0.000
Zr 0.500 0.500 0.000

Results
- final energy (eV/atom) = -5.527
- ΔH_f (0 K) (eV per formula unit) = -2.35
- total magnetization (μB per cell) = 0.00

DFT (GGA-PBE) results for a geometry-optimized NaHf structure.

Cell lengths 8.346, 8.930, 11.017 Å; angles 90.00, 90.00, 90.00 degrees
Fractional positions:
Hf 0.000 0.847 0.500
Hf 0.250 0.097 0.250
Hf 0.250 0.597 0.750
Hf 0.750 0.403 0.750
Hf 0.500 0.347 0.500
Hf 0.500 0.153 0.000
Hf 0.500 0.847 0.000
Hf 0.250 0.903 0.750
Hf 0.500 0.653 0.500
Hf 0.000 0.347 0.000
Hf 0.750 0.903 0.250
Hf 0.750 0.597 0.250
Hf 0.750 0.097 0.750
Hf 0.000 0.653 0.000
Hf 0.250 0.403 0.250
Hf 0.000 0.153 0.500
Na 0.655 0.500 0.000
Na 0.405 0.750 0.250
Na 0.095 0.750 0.250
Na 0.595 0.750 0.750
Na 0.095 0.250 0.750
Na 0.405 0.250 0.750
Na 0.345 0.000 0.500
Na 0.845 0.000 0.000
Na 0.155 0.500 0.500
Na 0.845 0.500 0.500
Na 0.905 0.250 0.250
Na 0.155 0.000 0.000
Na 0.595 0.250 0.250
Na 0.655 0.000 0.500
Na 0.345 0.500 0.000
Na 0.905 0.750 0.750

Results
- final energy (eV/atom) = -4.472
- ΔH_f (0 K) (eV per formula unit) = 2.33
- total magnetization (μB per cell) = 11.51

DFT (GGA-PBE) results for a geometry-optimized Sc2Cr2Co15 structure.

Cell lengths 6.198, 6.198, 6.198 Å; angles 82.39, 82.39, 82.39 degrees
Fractional positions:
Co 0.698 0.302 0.000
Co 0.000 0.698 0.302
Co 0.845 0.347 0.347
Co 0.653 0.653 0.155
Co 0.302 0.000 0.698
Co 0.000 0.500 0.000
Co 0.500 0.000 0.000
Co 0.000 0.302 0.698
Co 0.302 0.698 0.000
Co 0.698 0.000 0.302
Co 0.347 0.347 0.845
Co 0.347 0.845 0.347
Co 0.000 0.000 0.500
Co 0.653 0.155 0.653
Co 0.155 0.653 0.653
Cr 0.914 0.914 0.914
Cr 0.086 0.086 0.086
Sc 0.656 0.656 0.656
Sc 0.344 0.344 0.344

Results
- final energy (eV/atom) = -7.350
- ΔH_f (0 K) (eV per formula unit) = -1.16
- total magnetization (μB per cell) = 20.08

DFT (GGA-PBE) results for a geometry-optimized FeCo2Si structure.

Cell lengths 3.491, 2.593, 5.535 Å; angles 61.95, 90.00, 90.00 degrees
Fractional positions:
Fe 0.000 0.507 0.493
Co 0.000 0.018 0.982
Co 0.500 0.237 0.262
Si 0.500 0.737 0.763

Results
- final energy (eV/atom) = -7.213
- total magnetization (μB per cell) = 4.29
- formation energy (no corrections) (meV per atom) = -188

DFT (GGA-PBE) results for a geometry-optimized BaNb2CoAu structure.

Cell lengths 5.101, 5.462, 5.101 Å; angles 90.00, 90.00, 90.00 degrees
Fractional positions:
Co 0.500 0.500 0.500
Au 0.000 0.500 0.000
Nb 0.000 0.000 0.500
Nb 0.500 0.000 0.000
Ba 0.000 0.000 0.000

Results
- final energy (eV/atom) = -3.642
- ΔH_f (0 K) (eV per formula unit) = 14.24
- total magnetization (μB per cell) = 0.08

DFT (GGA-PBE) results for a geometry-optimized Y2BiSb structure.

Cell lengths 6.269, 6.269, 7.683 Å; angles 65.92, 65.92, 90.00 degrees
Fractional positions:
Y 0.378 0.628 0.244
Y 0.872 0.122 0.256
Y 0.128 0.878 0.744
Y 0.622 0.372 0.756
Sb 0.625 0.875 0.750
Sb 0.375 0.125 0.250
Bi 0.875 0.625 0.250
Bi 0.125 0.375 0.750

Results
- final energy (eV/atom) = -6.264
- total magnetization (μB per cell) = 0.00
- formation energy (no corrections) (meV per atom) = -1031

DFT (GGA-PBE) results for a geometry-optimized ZrRe2F structure.

Cell lengths 4.504, 4.504, 4.504 Å; angles 60.00, 60.00, 60.00 degrees
Fractional positions:
Zr 0.500 0.500 0.500
Re 0.750 0.750 0.750
Re 0.250 0.250 0.250
F 0.000 0.000 0.000

Results
- final energy (eV/atom) = -8.064
- total magnetization (μB per cell) = 0.00
- formation energy (no corrections) (meV per atom) = 765

DFT (GGA-PBE) results for a geometry-optimized GaTe2O2 structure.

Cell lengths 3.730, 3.730, 6.803 Å; angles 74.09, 74.09, 90.00 degrees
Fractional positions:
O 0.750 0.250 0.500
O 0.250 0.750 0.500
Te 0.361 0.361 0.279
Te 0.639 0.639 0.721
Ga 0.000 0.000 0.000

Results
- final energy (eV/atom) = -3.879
- total magnetization (μB per cell) = 0.00
- formation energy (no corrections) (meV per atom) = -34